[1]
# BaNaDyTe3, optimized geometry, DFT PBE
# uncorrected energy = -0.156 hartree per atom
# raw formation energy = -1364 meV per atom
data_BaNaDyTe3
_cell_length_a 9.305
_cell_length_b 4.652
_cell_length_c 10.314
_cell_angle_alpha 90.00
_cell_angle_beta 106.31
_cell_angle_gamma 90.00
_space_group_name_H-M_alt 'P 1 21/m 1'
_space_group_IT_number 11
loop_
_space_group_symop_operation_xyz
'x,y,z'
'-x,-y,-z'
'-x,y+1/2,-z'
'x,-y+1/2,z'
loop_
_atom_site_label
_atom_site_type_symbol
_atom_site_fract_x
_atom_site_fract_y
_atom_site_fract_z
_atom_site_occupancy
Ba1 Ba 0.214 0.250 0.248 1
Na1 Na 0.089 0.250 0.588 1
Dy1 Dy 0.323 0.750 0.845 1
Te1 Te 0.106 0.250 0.878 1
Te2 Te 0.261 0.750 0.528 1
Te3 Te 0.452 0.750 0.155 1



[2]
# Ba4DyNb3O12, optimized geometry, DFT PBE
# uncorrected energy = -0.293 hartree per atom
# raw formation energy = -2878 meV per atom
data_Ba4DyNb3O12
_cell_length_a 8.435
_cell_length_b 8.435
_cell_length_c 8.435
_cell_angle_alpha 90.00
_cell_angle_beta 90.00
_cell_angle_gamma 90.00
_space_group_name_H-M_alt 'I m -3 m'
_space_group_IT_number 229
_space_group_name_Hall '-I 4 2 3'
loop_
_atom_site_label
_atom_site_type_symbol
_atom_site_fract_x
_atom_site_fract_y
_atom_site_fract_z
_atom_site_occupancy
Ba1 Ba 0.250 0.250 0.250 1
Dy1 Dy 0.000 0.000 0.000 1
Nb1 Nb 0.000 0.000 0.500 1
O1 O 0.000 0.000 0.263 1
O2 O 0.000 0.250 0.500 1



[3]
# Ba3DyNb2O9, optimized geometry, DFT PBE
# uncorrected energy = -0.292 hartree per atom
# raw formation energy = -2940 meV per atom
data_Ba3DyNb2O9
_cell_length_a 5.9896
_cell_length_b 5.9896
_cell_length_c 7.3495
_cell_angle_alpha 90.00
_cell_angle_beta 90.00
_cell_angle_gamma 120.00
_space_group_name_H-M_alt 'P -3 m 1'
_space_group_IT_number 164
_space_group_name_Hall '-P 3 2"'
loop_
_atom_site_label
_atom_site_type_symbol
_atom_site_fract_x
_atom_site_fract_y
_atom_site_fract_z
_atom_site_occupancy
Ba1 Ba 0.0000 0.0000 0.0000 1
Ba2 Ba 0.3333 0.6667 0.6705 1
Dy1 Dy 0.0000 0.0000 0.5000 1
Nb1 Nb 0.3333 0.6667 0.1641 1
O1 O 0.0000 0.5000 0.0000 1
O2 O 0.1745 0.3491 0.3198 1



[4]
# BaDyNbSnO6, optimized geometry, DFT PBE
# uncorrected energy = -0.281 hartree per atom
# raw formation energy = -2617 meV per atom
# E above lowest polymorph = 0 meV per atom
data_BaDyNbSnO6
_cell_length_a 5.957
_cell_length_b 6.027
_cell_length_c 8.612
_cell_angle_alpha 88.62
_cell_angle_beta 88.70
_cell_angle_gamma 89.88
_space_group_name_H-M_alt 'P -1'
_space_group_IT_number 2
loop_
_space_group_symop_operation_xyz
'x,y,z'
'-x,-y,-z'
loop_
_atom_site_label
_atom_site_type_symbol
_atom_site_fract_x
_atom_site_fract_y
_atom_site_fract_z
_atom_site_occupancy
Ba1 Ba 0.010 0.492 0.258 1
Dy1 Dy 0.000 0.000 0.500 1
Dy2 Dy 0.500 0.500 0.000 1
Nb1 Nb 0.000 0.000 0.000 1
Nb2 Nb 0.500 0.500 0.500 1
Sn1 Sn 0.436 0.062 0.765 1
O1 O 0.050 0.030 0.763 1
O2 O 0.188 0.721 0.997 1
O3 O 0.244 0.715 0.507 1
O4 O 0.271 0.261 0.479 1
O5 O 0.283 0.188 0.009 1
O6 O 0.475 0.436 0.741 1



[5]
# BaDyNbSnO6, optimized geometry, DFT PBE
# uncorrected energy = -0.279 hartree per atom
# raw formation energy = -2558 meV per atom
# E above lowest polymorph = 59 meV per atom
data_BaDyNbSnO6
_cell_length_a 8.499
_cell_length_b 8.499
_cell_length_c 8.499
_cell_angle_alpha 90.00
_cell_angle_beta 90.00
_cell_angle_gamma 90.00
_space_group_name_H-M_alt 'F -4 3 m'
_space_group_IT_number 216
_space_group_name_Hall 'F -4 2 3'
loop_
_atom_site_label
_atom_site_type_symbol
_atom_site_fract_x
_atom_site_fract_y
_atom_site_fract_z
_atom_site_occupancy
Ba1 Ba 0.000 0.000 0.000 1
Dy1 Dy 0.250 0.250 0.750 1
Nb1 Nb 0.250 0.250 0.250 1
Sn1 Sn 0.000 0.000 0.500 1
O1 O 0.013 0.250 0.250 1



[6]
# BaNd2Dy, optimized geometry, DFT PBE
# uncorrected energy = -0.143 hartree per atom
# E above lowest polymorph = 0 meV per atom
data_BaNd2Dy
_cell_length_a 3.768
_cell_length_b 3.768
_cell_length_c 10.910
_cell_angle_alpha 90.00
_cell_angle_beta 90.00
_cell_angle_gamma 90.00
_space_group_name_H-M_alt 'P 4/m m m'
_space_group_IT_number 123
_space_group_name_Hall '-P 4 2'
loop_
_atom_site_label
_atom_site_type_symbol
_atom_site_fract_x
_atom_site_fract_y
_atom_site_fract_z
_atom_site_occupancy
Ba1 Ba 0.000 0.000 0.000 1
Nd1 Nd 0.500 0.500 0.283 1
Dy1 Dy 0.000 0.000 0.500 1



[7]
# BaNd2Dy, optimized geometry, DFT PBE
# uncorrected energy = -0.140 hartree per atom
# E above lowest polymorph = 80 meV per atom
data_BaNd2Dy
_cell_length_a 3.6820
_cell_length_b 3.6820
_cell_length_c 39.3930
_cell_angle_alpha 90.00
_cell_angle_beta 90.00
_cell_angle_gamma 120.00
_space_group_name_H-M_alt 'R -3 m'
_space_group_IT_number 166
_space_group_name_Hall '-R 3 2"'
loop_
_atom_site_label
_atom_site_type_symbol
_atom_site_fract_x
_atom_site_fract_y
_atom_site_fract_z
_atom_site_occupancy
Ba1 Ba 0.0000 0.0000 0.0000 1
Nd1 Nd 0.0000 0.0000 0.0938 1
Dy1 Dy 0.0000 0.0000 0.5000 1



[8]
# Ba3Nd12Dy5, optimized geometry, DFT PBE
# uncorrected energy = -0.125 hartree per atom
data_Ba3Nd12Dy5
_cell_length_a 19.870
_cell_length_b 19.870
_cell_length_c 19.870
_cell_angle_alpha 90.00
_cell_angle_beta 90.00
_cell_angle_gamma 90.00
_space_group_name_H-M_alt 'I a -3 d'
_space_group_IT_number 230
_space_group_name_Hall '-I 4bd 2c 3'
loop_
_atom_site_label
_atom_site_type_symbol
_atom_site_fract_x
_atom_site_fract_y
_atom_site_fract_z
_atom_site_occupancy
Ba1 Ba 0.000 0.250 0.125 1
Nd1 Nd 0.061 0.115 0.920 1
Dy1 Dy 0.000 0.000 0.000 1
Dy2 Dy 0.000 0.250 0.375 1



- uncorrected energy of number 8 (Ba3Nd12Dy5)?
  -0.125 hartree per atom



- Among the records above, which one has the lowest uncorrected energy?
  Ba4DyNb3O12